! PBE SrIn2Sn, relaxed; values from VASP
&SYSTEM
  ibrav = 0, nat = 8, ntyp = 3
/
ATOMIC_SPECIES
Sr 87.62 Sr.upf
In 114.82 In.upf
Sn 118.71 Sn.upf
ATOMIC_POSITIONS crystal
Sr 0.750 0.383 0.782
Sr 0.250 0.617 0.218
In 0.750 0.907 0.050
In 0.250 0.093 0.950
In 0.750 0.759 0.500
In 0.250 0.241 0.500
Sn 0.750 0.185 0.326
Sn 0.250 0.815 0.674
CELL_PARAMETERS angstrom
4.993 0.000 0.000
0.000 4.966 -0.215
0.000 -1.485 10.246
! formation energy from the elements = -1.247 eV/f.u.
! D(E_F) = 2.9 states/eV per cell
! crystal system = monoclinic

! PBE Sr5In2Sn, relaxed; values from VASP
&SYSTEM
  ibrav = 0, nat = 16, ntyp = 3
/
ATOMIC_SPECIES
Sr 87.62 Sr.upf
In 114.82 In.upf
Sn 118.71 Sn.upf
ATOMIC_POSITIONS crystal
Sr 0.531 0.678 0.709
Sr 0.822 0.969 0.291
Sr 0.000 0.000 0.000
Sr 0.500 0.500 0.000
Sr 0.178 0.031 0.709
Sr 0.678 0.178 0.709
Sr 0.031 0.531 0.709
Sr 0.322 0.822 0.291
Sr 0.969 0.469 0.291
Sr 0.469 0.322 0.291
In 0.116 0.384 0.000
In 0.616 0.116 0.000
In 0.384 0.884 0.000
In 0.884 0.616 0.000
Sn 0.750 0.750 0.500
Sn 0.250 0.250 0.500
CELL_PARAMETERS angstrom
-3.959 -5.405 5.623
-4.618 -3.457 -6.575
10.143 -1.107 -0.725
! formation energy from the elements = -3.469 eV/f.u.
! D(E_F) = 17.0 states/eV per cell
! crystal system = tetragonal

! PBE SrIn3Sn3, relaxed; values from VASP
&SYSTEM
  ibrav = 0, nat = 14, ntyp = 3
/
ATOMIC_SPECIES
Sr 87.62 Sr.upf
Sn 118.71 Sn.upf
In 114.82 In.upf
ATOMIC_POSITIONS crystal
Sr 0.500 0.500 0.500
Sr 0.000 0.000 0.000
Sn 0.250 0.000 0.500
Sn 0.000 0.500 0.250
Sn 0.500 0.750 0.000
Sn 0.750 0.000 0.500
Sn 0.000 0.500 0.750
Sn 0.500 0.250 0.000
In 0.000 0.250 0.500
In 0.000 0.750 0.500
In 0.500 0.000 0.750
In 0.750 0.500 0.000
In 0.500 0.000 0.250
In 0.250 0.500 0.000
CELL_PARAMETERS angstrom
-6.224 -1.143 5.010
-3.887 -4.101 -5.764
3.361 -6.857 2.612
! formation energy from the elements = 0.390 eV/f.u.
! energy relative to the lowest polymorph listed for this composition = 19.51 kJ per mole of atoms
! D(E_F) = 5.1 states/eV per cell
! crystal system = cubic

! PBE SrInSn, relaxed; values from VASP
&SYSTEM
  ibrav = 0, nat = 12, ntyp = 3
/
ATOMIC_SPECIES
Sr 87.62 Sr.upf
In 114.82 In.upf
Sn 118.71 Sn.upf
ATOMIC_POSITIONS crystal
Sr 0.250 0.812 0.485
Sr 0.750 0.312 0.015
Sr 0.250 0.688 0.985
Sr 0.750 0.188 0.515
In 0.750 0.919 0.159
In 0.750 0.581 0.659
In 0.250 0.081 0.841
In 0.250 0.419 0.341
Sn 0.750 0.598 0.273
Sn 0.750 0.902 0.773
Sn 0.250 0.098 0.227
Sn 0.250 0.402 0.727
CELL_PARAMETERS angstrom
-4.576 0.024 -1.624
2.493 -6.135 -7.113
-1.702 -6.149 4.707
! formation energy from the elements = -1.496 eV/f.u.
! D(E_F) = 3.7 states/eV per cell
! crystal system = orthorhombic

! PBE Sr8InSn2, relaxed; values from VASP
&SYSTEM
  ibrav = 0, nat = 11, ntyp = 3
/
ATOMIC_SPECIES
Sr 87.62 Sr.upf
In 114.82 In.upf
Sn 118.71 Sn.upf
ATOMIC_POSITIONS crystal
Sr 0.403 0.554 0.806
Sr 0.664 0.952 0.327
Sr 0.798 0.701 0.597
Sr 0.970 0.215 0.940
Sr 0.202 0.299 0.403
Sr 0.336 0.048 0.673
Sr 0.597 0.446 0.194
Sr 0.030 0.785 0.060
In 0.500 0.000 0.000
Sn 0.811 0.294 0.622
Sn 0.189 0.706 0.378
CELL_PARAMETERS angstrom
5.730 0.000 0.000
0.000 8.067 0.153
-2.865 -3.270 9.670
! formation energy from the elements = -4.178 eV/f.u.
! energy relative to the lowest polymorph listed for this composition = 0.00 kJ per mole of atoms
! D(E_F) = 9.2 states/eV per cell
! crystal system = monoclinic

! PBE Sr2InSn4, relaxed; values from VASP
&SYSTEM
  ibrav = 0, nat = 7, ntyp = 3
/
ATOMIC_SPECIES
Sr 87.62 Sr.upf
Sn 118.71 Sn.upf
In 114.82 In.upf
ATOMIC_POSITIONS crystal
Sr 0.368 0.368 0.263
Sr 0.632 0.632 0.737
Sn 0.168 0.168 0.663
Sn 0.832 0.832 0.337
Sn 0.000 0.500 0.000
Sn 0.500 0.000 0.000
In 0.000 0.000 0.000
CELL_PARAMETERS angstrom
-4.185 3.710 0.788
-0.382 -1.580 5.409
3.245 6.860 5.181
! formation energy from the elements = 0.083 eV/f.u.
! energy relative to the lowest polymorph listed for this composition = 39.97 kJ per mole of atoms
! D(E_F) = 4.0 states/eV per cell
! crystal system = tetragonal

! PBE SrIn12Sn4, relaxed; values from VASP
&SYSTEM
  ibrav = 0, nat = 17, ntyp = 3
/
ATOMIC_SPECIES
Sr 87.62 Sr.upf
In 114.82 In.upf
Sn 118.71 Sn.upf
ATOMIC_POSITIONS crystal
Sr 0.000 0.000 0.000
In 0.855 0.354 0.209
In 0.354 0.500 0.145
In 0.791 0.145 0.646
In 0.354 0.209 0.855
In 0.209 0.855 0.354
In 0.646 0.500 0.855
In 0.500 0.145 0.354
In 0.500 0.855 0.646
In 0.646 0.791 0.145
In 0.855 0.646 0.500
In 0.145 0.354 0.500
In 0.145 0.646 0.791
Sn 0.000 0.500 0.000
Sn 0.500 0.000 0.000
Sn 0.500 0.500 0.500
Sn 0.000 0.000 0.500
CELL_PARAMETERS angstrom
-5.112 4.806 -5.381
3.876 -6.469 -4.617
-4.964 -3.523 6.413
! formation energy from the elements = 0.438 eV/f.u.
! D(E_F) = 5.4 states/eV per cell
! crystal system = cubic

! PBE Sr2InSn4, relaxed; values from VASP
&SYSTEM
  ibrav = 0, nat = 14, ntyp = 3
/
ATOMIC_SPECIES
Sr 87.62 Sr.upf
In 114.82 In.upf
Sn 118.71 Sn.upf
ATOMIC_POSITIONS crystal
Sr 0.297 0.250 0.002
Sr 0.703 0.750 0.998
Sr 0.112 0.750 0.405
Sr 0.888 0.250 0.595
In 0.897 0.250 0.184
In 0.103 0.750 0.816
Sn 0.590 0.513 0.299
Sn 0.760 0.250 0.887
Sn 0.240 0.750 0.113
Sn 0.590 0.987 0.299
Sn 0.709 0.750 0.587
Sn 0.410 0.013 0.701
Sn 0.410 0.487 0.701
Sn 0.291 0.250 0.413
CELL_PARAMETERS angstrom
6.048 0.000 -1.946
0.000 6.666 0.000
0.869 0.000 10.555
! formation energy from the elements = -2.817 eV/f.u.
! energy relative to the lowest polymorph listed for this composition = 0.00 kJ per mole of atoms
! D(E_F) = 5.4 states/eV per cell
! crystal system = monoclinic

! PBE SrIn2Sn, relaxed; values from VASP
&SYSTEM
  ibrav = 0, nat = 8, ntyp = 3
/
ATOMIC_SPECIES
Sr 87.62 Sr.upf
Sn 118.71 Sn.upf
In 114.82 In.upf
ATOMIC_POSITIONS crystal
Sr 0.500 0.500 0.000
Sr 0.250 0.750 0.500
Sn 0.000 0.000 0.000
Sn 0.750 0.250 0.500
In 0.672 0.125 0.250
In 0.078 0.625 0.250
In 0.375 0.328 0.750
In 0.875 0.922 0.750
CELL_PARAMETERS angstrom
-5.898 0.535 6.588
4.719 -5.841 4.699
1.122 -0.197 6.977
! formation energy from the elements = -0.949 eV/f.u.
! D(E_F) = 3.2 states/eV per cell
! crystal system = tetragonal

! PBE SrIn2Sn2, relaxed; values from VASP
&SYSTEM
  ibrav = 0, nat = 10, ntyp = 3
/
ATOMIC_SPECIES
Sr 87.62 Sr.upf
Sn 118.71 Sn.upf
In 114.82 In.upf
ATOMIC_POSITIONS crystal
Sr 0.000 0.000 0.000
Sr 0.500 0.500 0.000
Sn 0.167 0.667 0.500
Sn 0.667 0.833 0.500
Sn 0.833 0.333 0.500
Sn 0.333 0.167 0.500
In 0.373 0.873 0.000
In 0.873 0.627 0.000
In 0.627 0.127 0.000
In 0.127 0.373 0.000
CELL_PARAMETERS angstrom
8.762 0.000 0.000
0.000 8.762 0.000
0.000 0.000 3.823
! formation energy from the elements = -1.089 eV/f.u.
! D(E_F) = 4.6 states/eV per cell
! crystal system = tetragonal

! PBE Sr4In2Sn, relaxed; values from VASP
&SYSTEM
  ibrav = 0, nat = 7, ntyp = 3
/
ATOMIC_SPECIES
Sr 87.62 Sr.upf
In 114.82 In.upf
Sn 118.71 Sn.upf
ATOMIC_POSITIONS crystal
Sr 0.876 0.876 0.373
Sr 0.124 0.124 0.627
Sr 0.625 0.625 0.126
Sr 0.375 0.375 0.874
In 0.749 0.749 0.752
In 0.251 0.251 0.248
Sn 0.000 0.000 0.000
CELL_PARAMETERS angstrom
-2.517 1.137 -5.031
-5.255 -2.027 -1.102
-6.351 7.471 1.592
! formation energy from the elements = -2.607 eV/f.u.
! energy relative to the lowest polymorph listed for this composition = 0.00 kJ per mole of atoms
! D(E_F) = 5.5 states/eV per cell
! crystal system = trigonal

! PBE Sr3In7Sn2, relaxed; values from VASP
&SYSTEM
  ibrav = 0, nat = 12, ntyp = 3
/
ATOMIC_SPECIES
Sr 87.62 Sr.upf
In 114.82 In.upf
Sn 118.71 Sn.upf
ATOMIC_POSITIONS crystal
Sr 0.500 0.500 0.000
Sr 0.500 0.936 0.372
Sr 0.500 0.064 0.628
In 0.000 0.288 0.808
In 0.000 0.393 0.567
In 0.000 0.000 0.000
In 0.000 0.712 0.192
In 0.500 0.193 0.279
In 0.500 0.807 0.721
In 0.000 0.607 0.433
Sn 0.000 0.761 0.806
Sn 0.000 0.239 0.194
CELL_PARAMETERS angstrom
-0.299 2.559 -3.624
-2.796 -4.805 -3.164
-4.769 16.730 12.207
! formation energy from the elements = -3.184 eV/f.u.
! D(E_F) = 5.2 states/eV per cell
! crystal system = monoclinic

! PBE SrIn2Sn2, relaxed; values from VASP
&SYSTEM
  ibrav = 0, nat = 10, ntyp = 3
/
ATOMIC_SPECIES
Sr 87.62 Sr.upf
In 114.82 In.upf
Sn 118.71 Sn.upf
ATOMIC_POSITIONS crystal
Sr 0.364 0.750 0.274
Sr 0.636 0.250 0.726
In 0.070 0.750 0.858
In 0.930 0.250 0.142
In 0.257 0.250 0.483
In 0.743 0.750 0.517
Sn 0.187 0.750 0.630
Sn 0.813 0.250 0.370
Sn 0.533 0.750 0.932
Sn 0.467 0.250 0.068
CELL_PARAMETERS angstrom
5.394 0.000 1.185
0.000 4.505 0.000
-0.136 0.000 13.259
! formation energy from the elements = -1.061 eV/f.u.
! D(E_F) = 3.0 states/eV per cell
! crystal system = monoclinic

! PBE SrInSn, relaxed; values from VASP
&SYSTEM
  ibrav = 0, nat = 3, ntyp = 3
/
ATOMIC_SPECIES
Sr 87.62 Sr.upf
Sn 118.71 Sn.upf
In 114.82 In.upf
ATOMIC_POSITIONS crystal
Sr 0.000 0.000 0.000
Sn 0.250 0.250 0.250
In 0.500 0.500 0.500
CELL_PARAMETERS angstrom
5.334 0.000 0.000
2.667 4.620 0.000
2.667 1.540 4.355
! formation energy from the elements = -0.928 eV/f.u.
! D(E_F) = 2.5 states/eV per cell
! crystal system = cubic

! PBE Sr3In2Sn3, relaxed; values from VASP
&SYSTEM
  ibrav = 0, nat = 16, ntyp = 3
/
ATOMIC_SPECIES
Sr 87.62 Sr.upf
In 114.82 In.upf
Sn 118.71 Sn.upf
ATOMIC_POSITIONS crystal
Sr 0.933 0.866 0.389
Sr 0.067 0.134 0.889
Sr 0.933 0.866 0.111
Sr 0.067 0.134 0.611
Sr 0.660 0.320 0.250
Sr 0.340 0.680 0.750
In 0.763 0.526 0.901
In 0.237 0.474 0.401
In 0.763 0.526 0.599
In 0.237 0.474 0.099
Sn 0.618 0.236 0.453
Sn 0.382 0.764 0.953
Sn 0.618 0.236 0.047
Sn 0.382 0.764 0.547
Sn 0.375 0.749 0.250
Sn 0.625 0.251 0.750
CELL_PARAMETERS angstrom
4.962 0.000 0.000
-2.481 6.250 0.000
0.000 0.000 16.562
! formation energy from the elements = -4.139 eV/f.u.
! energy relative to the lowest polymorph listed for this composition = 0.00 kJ per mole of atoms
! D(E_F) = 5.5 states/eV per cell
! crystal system = orthorhombic

! PBE Sr3In4Sn4, relaxed; values from VASP
&SYSTEM
  ibrav = 0, nat = 11, ntyp = 3
/
ATOMIC_SPECIES
Sr 87.62 Sr.upf
In 114.82 In.upf
Sn 118.71 Sn.upf
ATOMIC_POSITIONS crystal
Sr 0.122 0.122 0.244
Sr 0.878 0.878 0.756
Sr 0.000 0.500 0.000
In 0.328 0.122 0.656
In 0.672 0.466 0.344
In 0.672 0.878 0.344
In 0.328 0.534 0.656
Sn 0.214 0.714 0.428
Sn 0.786 0.286 0.572
Sn 0.500 0.817 0.000
Sn 0.500 0.183 0.000
CELL_PARAMETERS angstrom
4.957 0.000 0.000
0.000 8.367 0.000
-2.478 -4.184 8.374
! formation energy from the elements = -4.253 eV/f.u.
! D(E_F) = 4.3 states/eV per cell
! crystal system = orthorhombic

! PBE Sr2InSn, relaxed; values from VASP
&SYSTEM
  ibrav = 0, nat = 8, ntyp = 3
/
ATOMIC_SPECIES
Sr 87.62 Sr.upf
Sn 118.71 Sn.upf
In 114.82 In.upf
ATOMIC_POSITIONS crystal
Sr 0.631 0.125 0.250
Sr 0.119 0.625 0.250
Sr 0.375 0.369 0.750
Sr 0.875 0.881 0.750
Sn 0.000 0.000 0.000
Sn 0.750 0.250 0.500
In 0.500 0.500 0.000
In 0.250 0.750 0.500
CELL_PARAMETERS angstrom
9.008 0.000 0.000
0.000 9.008 0.000
4.504 4.504 3.713
! formation energy from the elements = -0.633 eV/f.u.
! energy relative to the lowest polymorph listed for this composition = 39.89 kJ per mole of atoms
! D(E_F) = 8.6 states/eV per cell
! crystal system = tetragonal

! PBE SrIn2Sn6, relaxed; values from VASP
&SYSTEM
  ibrav = 0, nat = 9, ntyp = 3
/
ATOMIC_SPECIES
Sr 87.62 Sr.upf
In 114.82 In.upf
Sn 118.71 Sn.upf
ATOMIC_POSITIONS crystal
Sr 0.000 0.000 0.000
In 0.997 0.366 0.366
In 0.003 0.634 0.634
Sn 0.499 0.042 0.333
Sn 0.501 0.958 0.667
Sn 0.501 0.667 0.958
Sn 0.500 0.300 0.700
Sn 0.500 0.700 0.300
Sn 0.499 0.333 0.042
CELL_PARAMETERS angstrom
-1.578 -2.335 -1.879
-1.248 -5.020 7.226
-7.865 2.865 2.984
! formation energy from the elements = -0.788 eV/f.u.
! energy relative to the lowest polymorph listed for this composition = 0.00 kJ per mole of atoms
! D(E_F) = 4.8 states/eV per cell
! crystal system = monoclinic

! PBE SrIn4Sn4, relaxed; values from VASP
&SYSTEM
  ibrav = 0, nat = 18, ntyp = 3
/
ATOMIC_SPECIES
Sr 87.62 Sr.upf
In 114.82 In.upf
Sn 118.71 Sn.upf
ATOMIC_POSITIONS crystal
Sr 0.000 0.000 0.000
Sr 0.500 0.500 0.500
In 0.212 0.500 0.942
In 0.788 0.500 0.942
In 0.500 0.788 0.058
In 0.500 0.212 0.058
In 0.000 0.712 0.442
In 0.000 0.288 0.442
In 0.288 0.000 0.558
In 0.712 0.000 0.558
Sn 0.500 0.739 0.783
Sn 0.500 0.261 0.783
Sn 0.739 0.500 0.217
Sn 0.261 0.500 0.217
Sn 0.239 0.000 0.283
Sn 0.761 0.000 0.283
Sn 0.000 0.239 0.717
Sn 0.000 0.761 0.717
CELL_PARAMETERS angstrom
6.790 0.000 0.000
0.000 6.790 0.000
0.000 0.000 11.706
! formation energy from the elements = -0.751 eV/f.u.
! D(E_F) = 5.1 states/eV per cell
! crystal system = tetragonal

! PBE Sr2InSn, relaxed; values from VASP
&SYSTEM
  ibrav = 0, nat = 8, ntyp = 3
/
ATOMIC_SPECIES
Sr 87.62 Sr.upf
In 114.82 In.upf
Sn 118.71 Sn.upf
ATOMIC_POSITIONS crystal
Sr 0.750 0.220 0.433
Sr 0.250 0.780 0.567
Sr 0.250 0.776 0.072
Sr 0.750 0.224 0.928
In 0.250 0.343 0.212
In 0.750 0.657 0.788
Sn 0.750 0.644 0.287
Sn 0.250 0.356 0.713
CELL_PARAMETERS angstrom
4.709 0.000 0.000
0.000 6.650 -0.132
0.000 -3.490 9.242
! formation energy from the elements = -2.287 eV/f.u.
! energy relative to the lowest polymorph listed for this composition = 0.00 kJ per mole of atoms
! D(E_F) = 5.7 states/eV per cell
! crystal system = monoclinic